Here is a geometry-optimized Tc2PRu structure from the Alexandria database. Energies are from PBE-GGA.

Calculated values
**D(E_F)**: 4.07 states/eV/cell
**ρ**: 9.88 g/cm3
**Formation energy**: 50 meV/atom
**Volume**: 13.78 A^3/atom
**M_tot**: 0.0 μB per cell

Lattice parameters (Å, degrees): 4.365 4.365 2.893 90.00 90.00 90.00
Fractional positions:
Tc 0.500 0.000 0.000
Tc 0.000 0.500 0.000
P 0.500 0.500 0.500
Ru 0.000 0.000 0.500